DFT (GGA-PBE) results for Ce2V2C3 after structural relaxation.

Cell and atoms, written as CIF:
```
data_Ce2V2C3
_symmetry_space_group_name_H-M 'P 1'
_symmetry_Int_Tables_number 1
_symmetry_space_group_name_Hall 'P 1'
_cell_length_a 3.324
_cell_length_b 5.627
_cell_length_c 6.225
_cell_angle_alpha 115.19
_cell_angle_beta 105.49
_cell_angle_gamma 90.00
loop_
_atom_site_label
_atom_site_fract_x
_atom_site_fract_y
_atom_site_fract_z
Ce1 0.600 0.800 0.200
Ce2 0.400 0.200 0.800
V1 0.162 0.322 0.324
V2 0.838 0.678 0.676
C1 0.000 0.000 0.000
C2 0.250 0.726 0.499
C3 0.750 0.274 0.501
```

Symmetry: No. 12
Mass density, g/cm³: 6.90
Formation enthalpy at 0 K, eV/atom: -0.3522
DOS(E_F), states/eV/f.u.: 8.5

DFT (GGA-PBE) results for Ce2VC3 after structural relaxation.

Cell and atoms, written as CIF:
```
data_Ce2VC3
_symmetry_space_group_name_H-M 'P 1'
_symmetry_Int_Tables_number 1
_symmetry_space_group_name_Hall 'P 1'
_cell_length_a 3.281
_cell_length_b 5.835
_cell_length_c 9.149
_cell_angle_alpha 90.00
_cell_angle_beta 100.33
_cell_angle_gamma 90.00
loop_
_atom_site_label
_atom_site_fract_x
_atom_site_fract_y
_atom_site_fract_z
Ce1 0.830 0.250 0.659
Ce2 0.170 0.750 0.341
Ce3 0.010 0.250 0.020
Ce4 0.990 0.750 0.980
V1 0.344 0.750 0.689
V2 0.656 0.250 0.311
C1 0.783 0.750 0.565
C2 0.412 0.497 0.823
C3 0.412 0.003 0.823
C4 0.588 0.997 0.177
C5 0.217 0.250 0.435
C6 0.588 0.503 0.177
```

Symmetry: No. 63
Mass density, g/cm³: 7.08
Formation enthalpy at 0 K, eV/atom: -0.0582
DOS(E_F), states/eV/f.u.: 5.0

DFT (GGA-PBE) results for CeV2C after structural relaxation.

Cell and atoms, written as CIF:
```
data_CeV2C
_symmetry_space_group_name_H-M 'P 1'
_symmetry_Int_Tables_number 1
_symmetry_space_group_name_Hall 'P 1'
_cell_length_a 2.938
_cell_length_b 2.938
_cell_length_c 8.022
_cell_angle_alpha 79.45
_cell_angle_beta 79.45
_cell_angle_gamma 60.00
loop_
_atom_site_label
_atom_site_fract_x
_atom_site_fract_y
_atom_site_fract_z
V1 0.714 0.714 0.859
V2 0.286 0.286 0.141
C1 0.000 0.000 0.000
Ce1 0.500 0.500 0.500
```

Symmetry: No. 166
E above lowest polymorph, meV per atom: 0
Mass density, g/cm³: 7.20
Formation enthalpy at 0 K, eV/atom: -0.1367
DOS(E_F), states/eV/f.u.: 4.7

DFT (GGA-PBE) results for CeVC2 after structural relaxation.

Cell and atoms, written as CIF:
```
data_CeVC2
_symmetry_space_group_name_H-M 'P 1'
_symmetry_Int_Tables_number 1
_symmetry_space_group_name_Hall 'P 1'
_cell_length_a 3.192
_cell_length_b 3.192
_cell_length_c 5.910
_cell_angle_alpha 74.33
_cell_angle_beta 74.33
_cell_angle_gamma 60.00
loop_
_atom_site_label
_atom_site_fract_x
_atom_site_fract_y
_atom_site_fract_z
C1 0.733 0.733 0.802
C2 0.267 0.267 0.198
Ce1 0.500 0.500 0.500
V1 0.000 0.000 0.000
```

Symmetry: No. 166
Mass density, g/cm³: 7.21
Formation enthalpy at 0 K, eV/atom: -0.1263
DOS(E_F), states/eV/f.u.: 2.1

DFT (GGA-PBE) results for CeVWC3 after structural relaxation.

Cell and atoms, written as CIF:
```
data_CeVWC3
_symmetry_space_group_name_H-M 'P 1'
_symmetry_Int_Tables_number 1
_symmetry_space_group_name_Hall 'P 1'
_cell_length_a 3.169
_cell_length_b 5.567
_cell_length_c 8.276
_cell_angle_alpha 101.75
_cell_angle_beta 90.00
_cell_angle_gamma 90.00
loop_
_atom_site_label
_atom_site_fract_x
_atom_site_fract_y
_atom_site_fract_z
W1 0.250 0.775 0.050
W2 0.750 0.225 0.950
C1 0.750 0.037 0.155
C2 0.750 0.223 0.519
C3 0.250 0.777 0.481
C4 0.750 0.578 0.150
C5 0.250 0.422 0.850
C6 0.250 0.963 0.845
V1 0.250 0.115 0.636
V2 0.750 0.885 0.364
Ce1 0.750 0.638 0.696
Ce2 0.250 0.362 0.304
```

Symmetry: No. 11
Mass density, g/cm³: 9.55
Formation enthalpy at 0 K, eV/atom: -0.2238
DOS(E_F), states/eV/f.u.: 3.9

DFT (GGA-PBE) results for CeW2C2 after structural relaxation.

Cell and atoms, written as CIF:
```
data_CeW2C2
_symmetry_space_group_name_H-M 'P 1'
_symmetry_Int_Tables_number 1
_symmetry_space_group_name_Hall 'P 1'
_cell_length_a 5.730
_cell_length_b 5.730
_cell_length_c 5.844
_cell_angle_alpha 112.11
_cell_angle_beta 112.11
_cell_angle_gamma 103.41
loop_
_atom_site_label
_atom_site_fract_x
_atom_site_fract_y
_atom_site_fract_z
Ce1 0.875 0.625 0.750
Ce2 0.125 0.375 0.250
C1 0.575 0.925 0.750
C2 0.175 0.325 0.750
C3 0.425 0.075 0.250
C4 0.825 0.675 0.250
W1 0.481 0.731 0.963
W2 0.231 0.981 0.463
W3 0.769 0.019 0.537
W4 0.519 0.269 0.037
```

Symmetry: No. 70
Mass density, g/cm³: 11.91
Formation enthalpy at 0 K, eV/atom: -0.0125
DOS(E_F), states/eV/f.u.: 4.1

DFT (GGA-PBE) results for Ce2WC after structural relaxation.

Cell and atoms, written as CIF:
```
data_Ce2WC
_symmetry_space_group_name_H-M 'P 1'
_symmetry_Int_Tables_number 1
_symmetry_space_group_name_Hall 'P 1'
_cell_length_a 3.202
_cell_length_b 3.202
_cell_length_c 8.938
_cell_angle_alpha 79.68
_cell_angle_beta 79.68
_cell_angle_gamma 60.00
loop_
_atom_site_label
_atom_site_fract_x
_atom_site_fract_y
_atom_site_fract_z
C1 0.500 0.500 0.500
Ce1 0.893 0.893 0.321
Ce2 0.107 0.107 0.679
W1 0.000 0.000 0.000
```

Symmetry: No. 166
Mass density, g/cm³: 10.18
Formation enthalpy at 0 K, eV/atom: 0.6253
DOS(E_F), states/eV/f.u.: 6.3

DFT (GGA-PBE) results for CeWC after structural relaxation.

Cell and atoms, written as CIF:
```
data_CeWC
_symmetry_space_group_name_H-M 'P 1'
_symmetry_Int_Tables_number 1
_symmetry_space_group_name_Hall 'P 1'
_cell_length_a 3.166
_cell_length_b 3.166
_cell_length_c 11.379
_cell_angle_alpha 90.00
_cell_angle_beta 90.00
_cell_angle_gamma 120.00
loop_
_atom_site_label
_atom_site_fract_x
_atom_site_fract_y
_atom_site_fract_z
Ce1 0.333 0.667 0.262
Ce2 0.667 0.333 0.762
W1 0.000 0.000 0.020
W2 0.000 0.000 0.520
C1 0.333 0.667 0.609
C2 0.667 0.333 0.109
```

Symmetry: No. 186
E above lowest polymorph, meV per atom: 0
Mass density, g/cm³: 11.29
Formation enthalpy at 0 K, eV/atom: 0.0764
DOS(E_F), states/eV/f.u.: 3.2

DFT (GGA-PBE) results for CeWC after structural relaxation.

Cell and atoms, written as CIF:
```
data_CeWC
_symmetry_space_group_name_H-M 'P 1'
_symmetry_Int_Tables_number 1
_symmetry_space_group_name_Hall 'P 1'
_cell_length_a 4.478
_cell_length_b 3.636
_cell_length_c 3.636
_cell_angle_alpha 120.00
_cell_angle_beta 90.00
_cell_angle_gamma 90.00
loop_
_atom_site_label
_atom_site_fract_x
_atom_site_fract_y
_atom_site_fract_z
W1 0.167 0.333 0.667
C1 0.167 0.000 0.000
Ce1 0.667 0.667 0.333
```

Symmetry: No. 187
E above lowest polymorph, meV per atom: 230
Mass density, g/cm³: 10.88
Formation enthalpy at 0 K, eV/atom: 0.3065
DOS(E_F), states/eV/f.u.: 3.8

DFT (GGA-PBE) results for CeWC2 after structural relaxation.

Cell and atoms, written as CIF:
```
data_CeWC2
_symmetry_space_group_name_H-M 'P 1'
_symmetry_Int_Tables_number 1
_symmetry_space_group_name_Hall 'P 1'
_cell_length_a 3.409
_cell_length_b 5.814
_cell_length_c 10.965
_cell_angle_alpha 90.00
_cell_angle_beta 90.00
_cell_angle_gamma 90.00
loop_
_atom_site_label
_atom_site_fract_x
_atom_site_fract_y
_atom_site_fract_z
Ce1 0.750 0.581 0.862
Ce2 0.250 0.919 0.362
Ce3 0.750 0.081 0.638
Ce4 0.250 0.419 0.138
C1 0.750 0.666 0.248
C2 0.250 0.334 0.752
C3 0.250 0.281 0.483
C4 0.250 0.834 0.748
C5 0.250 0.781 0.017
C6 0.750 0.219 0.983
C7 0.750 0.166 0.252
C8 0.750 0.719 0.517
W1 0.250 0.585 0.608
W2 0.750 0.915 0.108
W3 0.750 0.415 0.392
W4 0.250 0.085 0.892
```

Symmetry: No. 62
E above lowest polymorph, meV per atom: 0
Mass density, g/cm³: 10.63
Formation enthalpy at 0 K, eV/atom: -0.2710
DOS(E_F), states/eV/f.u.: 1.5

DFT (GGA-PBE) results for CeWC after structural relaxation.

Cell and atoms, written as CIF:
```
data_CeWC
_symmetry_space_group_name_H-M 'P 1'
_symmetry_Int_Tables_number 1
_symmetry_space_group_name_Hall 'P 1'
_cell_length_a 2.944
_cell_length_b 2.944
_cell_length_c 5.802
_cell_angle_alpha 104.70
_cell_angle_beta 104.70
_cell_angle_gamma 90.00
loop_
_atom_site_label
_atom_site_fract_x
_atom_site_fract_y
_atom_site_fract_z
Ce1 0.002 0.002 0.004
W1 0.277 0.277 0.555
C1 0.721 0.721 0.441
```

Symmetry: No. 107
E above lowest polymorph, meV per atom: 125
Mass density, g/cm³: 11.89
Formation enthalpy at 0 K, eV/atom: 0.2015
DOS(E_F), states/eV/f.u.: 2.4

DFT (GGA-PBE) results for CeWC2 after structural relaxation.

Cell and atoms, written as CIF:
```
data_CeWC2
_symmetry_space_group_name_H-M 'P 1'
_symmetry_Int_Tables_number 1
_symmetry_space_group_name_Hall 'P 1'
_cell_length_a 3.253
_cell_length_b 3.253
_cell_length_c 5.986
_cell_angle_alpha 74.23
_cell_angle_beta 74.23
_cell_angle_gamma 60.00
loop_
_atom_site_label
_atom_site_fract_x
_atom_site_fract_y
_atom_site_fract_z
Ce1 0.500 0.500 0.500
W1 0.000 0.000 0.000
C1 0.735 0.735 0.794
C2 0.265 0.265 0.206
```

Symmetry: No. 166
E above lowest polymorph, meV per atom: 119
Mass density, g/cm³: 11.09
Formation enthalpy at 0 K, eV/atom: -0.1521
DOS(E_F), states/eV/f.u.: 1.4

DFT (GGA-PBE) results for CeZr2WC4 after structural relaxation.

Cell and atoms, written as CIF:
```
data_CeZr2WC4
_symmetry_space_group_name_H-M 'P 1'
_symmetry_Int_Tables_number 1
_symmetry_space_group_name_Hall 'P 1'
_cell_length_a 3.366
_cell_length_b 6.144
_cell_length_c 11.788
_cell_angle_alpha 90.00
_cell_angle_beta 90.00
_cell_angle_gamma 105.90
loop_
_atom_site_label
_atom_site_fract_x
_atom_site_fract_y
_atom_site_fract_z
Zr1 0.630 0.260 0.463
Zr2 0.370 0.740 0.963
Zr3 0.630 0.260 0.037
Zr4 0.370 0.740 0.537
C1 0.740 0.479 0.618
C2 0.740 0.479 0.882
C3 0.000 0.000 0.500
C4 0.559 0.117 0.250
C5 0.260 0.521 0.382
C6 0.441 0.883 0.750
C7 0.000 0.000 0.000
C8 0.260 0.521 0.118
Ce1 0.894 0.787 0.250
Ce2 0.106 0.213 0.750
W1 0.159 0.317 0.250
W2 0.841 0.683 0.750
```

Symmetry: No. 63
Mass density, g/cm³: 7.85
Formation enthalpy at 0 K, eV/atom: -0.3198
DOS(E_F), states/eV/f.u.: 5.6